Record 1
VASP calculation (PBE) on crystalline Cs3Hg4Bi2 at its relaxed geometry.

Cell lengths 5.556, 7.160, 11.827 Å; angles 63.19, 76.32, 67.13 degrees
Fractional coordinates of all 9 atoms:
Cs (0.616, 0.150, 0.619)
Cs (0.000, 0.000, 0.000)
Hg (0.904, 0.549, 0.644)
Cs (0.384, 0.850, 0.381)
Hg (0.269, 0.380, 0.082)
Bi (0.304, 0.611, 0.782)
Hg (0.096, 0.451, 0.356)
Hg (0.731, 0.620, 0.918)
Bi (0.696, 0.389, 0.218)

uncorrected energy = -1.57 eV per atom
SG = P-1
DOS(E_F) = 0.155 states/eV/atom
energy relative to the lowest polymorph listed for this composition = 0 meV per atom
V = 385.86 Å³ per cell
crystal system = triclinic

Record 2
VASP calculation (PBE) on crystalline Cs8Hg2Bi at its relaxed geometry.

Cell lengths 6.307, 9.664, 13.797 Å; angles 110.52, 103.22, 90.01 degrees
Fractional coordinates of all 11 atoms:
Cs (0.136, 0.572, 0.909)
Cs (0.547, 0.747, 0.731)
Cs (0.273, 0.320, 0.181)
Cs (0.918, 0.430, 0.470)
Cs (0.636, 0.228, 0.909)
Hg (0.785, 0.591, 0.205)
Hg (0.488, 0.295, 0.613)
Cs (0.001, 0.048, 0.637)
Bi (0.136, 0.974, 0.909)
Cs (0.725, 0.926, 0.088)
Cs (0.356, 0.869, 0.348)

uncorrected energy = -1.22 eV per atom
SG = Cm
DOS(E_F) = 0.592 states/eV/atom
V = 763.73 Å³ per cell
crystal system = monoclinic

Record 3
VASP calculation (PBE) on crystalline Cs2HgBi2 at its relaxed geometry.

Cell lengths 6.553, 6.553, 7.533 Å; angles 90.00, 90.00, 90.00 degrees
Fractional coordinates of all 5 atoms:
Hg (0.500, 0.500, 0.500)
Bi (0.500, 0.000, 0.000)
Cs (0.000, 0.000, 0.000)
Bi (0.000, 0.500, 0.000)
Cs (0.000, 0.000, 0.500)

uncorrected energy = -1.39 eV per atom
SG = P4/mmm
DOS(E_F) = 0.891 states/eV/atom
energy relative to the lowest polymorph listed for this composition = 871 meV per atom
V = 323.50 Å³ per cell
crystal system = tetragonal

Record 4
VASP calculation (PBE) on crystalline Cs2Hg4Bi5 at its relaxed geometry.

Cell lengths 7.006, 7.195, 9.952 Å; angles 80.13, 69.39, 60.87 degrees
Fractional coordinates of all 11 atoms:
Hg (0.488, 0.293, 0.731)
Bi (0.750, 0.500, 0.500)
Hg (0.512, 0.707, 0.269)
Bi (0.500, 0.500, 0.000)
Bi (0.000, 0.500, 0.000)
Hg (0.781, 0.707, 0.731)
Hg (0.219, 0.293, 0.269)
Cs (0.134, 0.000, 0.732)
Bi (0.500, 0.000, 0.000)
Cs (0.866, 0.000, 0.268)
Bi (0.250, 0.500, 0.500)

uncorrected energy = -2.14 eV per atom
SG = Fmmm
DOS(E_F) = 0.426 states/eV/atom
V = 410.15 Å³ per cell
crystal system = orthorhombic

Record 5
VASP calculation (PBE) on crystalline CsHg3Bi at its relaxed geometry.

Cell lengths 6.039, 6.039, 6.039 Å; angles 90.00, 90.00, 90.00 degrees
Fractional coordinates of all 5 atoms:
Hg (0.000, 0.000, 0.500)
Bi (0.000, 0.000, 0.000)
Hg (0.000, 0.500, 0.000)
Cs (0.500, 0.500, 0.500)
Hg (0.500, 0.000, 0.000)

uncorrected energy = -1.23 eV per atom
SG = Pm-3m
DOS(E_F) = 0.318 states/eV/atom
energy relative to the lowest polymorph listed for this composition = 104 meV per atom
V = 220.22 Å³ per cell
crystal system = cubic

Record 6
VASP calculation (PBE) on crystalline CsHg3Bi at its relaxed geometry.

Cell lengths 5.369, 8.233, 8.550 Å; angles 109.28, 90.00, 89.98 degrees
Fractional coordinates of all 10 atoms:
Hg (0.976, 0.583, 0.855)
Cs (0.976, 0.121, 0.027)
Hg (0.976, 0.074, 0.562)
Hg (0.476, 0.318, 0.792)
Bi (0.476, 0.228, 0.395)
Hg (0.976, 0.430, 0.474)
Hg (0.476, 0.828, 0.085)
Cs (0.475, 0.781, 0.620)
Bi (0.976, 0.673, 0.253)
Hg (0.476, 0.472, 0.174)

uncorrected energy = -1.29 eV per atom
SG = P2_1/m
DOS(E_F) = 0.356 states/eV/atom
energy relative to the lowest polymorph listed for this composition = 41 meV per atom
V = 356.70 Å³ per cell
crystal system = monoclinic

Record 7
VASP calculation (PBE) on crystalline CsHg14Bi at its relaxed geometry.

Cell lengths 7.842, 8.207, 8.833 Å; angles 90.00, 90.00, 118.54 degrees
Fractional coordinates of all 16 atoms:
Hg (0.269, 0.131, 0.203)
Hg (0.419, 0.838, 0.234)
Bi (0.624, 0.247, 0.500)
Hg (0.269, 0.131, 0.797)
Hg (0.419, 0.838, 0.766)
Hg (0.731, 0.872, 0.500)
Hg (0.786, 0.572, 0.279)
Hg (0.786, 0.572, 0.721)
Hg (0.862, 0.131, 0.203)
Hg (0.862, 0.131, 0.797)
Hg (0.675, 0.748, 0.000)
Hg (0.073, 0.748, 0.000)
Cs (0.217, 0.434, 0.500)
Hg (0.141, 0.872, 0.500)
Hg (0.222, 0.444, 0.000)
Hg (0.645, 0.291, 0.000)

uncorrected energy = -0.60 eV per atom
SG = Amm2
DOS(E_F) = 0.281 states/eV/atom
V = 499.45 Å³ per cell
crystal system = orthorhombic

Record 8
VASP calculation (PBE) on crystalline CsHg3Bi3 at its relaxed geometry.

Cell lengths 5.491, 10.472, 10.472 Å; angles 120.00, 90.00, 90.00 degrees
Fractional coordinates of all 14 atoms:
Bi (0.250, 0.978, 0.175)
Hg (0.250, 0.580, 0.943)
Bi (0.250, 0.825, 0.802)
Hg (0.750, 0.943, 0.363)
Bi (0.750, 0.802, 0.978)
Bi (0.250, 0.198, 0.022)
Bi (0.750, 0.022, 0.825)
Cs (0.750, 0.333, 0.667)
Hg (0.250, 0.057, 0.637)
Cs (0.250, 0.667, 0.333)
Bi (0.750, 0.175, 0.198)
Hg (0.250, 0.363, 0.420)
Hg (0.750, 0.420, 0.057)
Hg (0.750, 0.637, 0.580)

uncorrected energy = -2.01 eV per atom
SG = P6_3/m
DOS(E_F) = 0.265 states/eV/atom
energy relative to the lowest polymorph listed for this composition = 0 meV per atom
V = 521.49 Å³ per cell
crystal system = hexagonal

Record 9
VASP calculation (PBE) on crystalline CsHg3Bi3 at its relaxed geometry.

Cell lengths 8.352, 8.352, 8.352 Å; angles 90.00, 90.00, 90.00 degrees
Fractional coordinates of all 14 atoms:
Cs (0.000, 0.000, 0.000)
Hg (0.000, 0.500, 0.250)
Hg (0.250, 0.000, 0.500)
Bi (0.500, 0.000, 0.250)
Bi (0.500, 0.000, 0.750)
Bi (0.000, 0.750, 0.500)
Hg (0.750, 0.000, 0.500)
Hg (0.000, 0.500, 0.750)
Cs (0.500, 0.500, 0.500)
Bi (0.750, 0.500, 0.000)
Hg (0.500, 0.250, 0.000)
Bi (0.250, 0.500, 0.000)
Hg (0.500, 0.750, 0.000)
Bi (0.000, 0.250, 0.500)

uncorrected energy = -1.96 eV per atom
SG = Pm-3n
DOS(E_F) = 0.768 states/eV/atom
energy relative to the lowest polymorph listed for this composition = 53 meV per atom
V = 582.67 Å³ per cell
crystal system = cubic

Record 10
VASP calculation (PBE) on crystalline Cs2HgBi2 at its relaxed geometry.

Cell lengths 8.193, 8.193, 6.452 Å; angles 90.00, 90.00, 90.00 degrees
Fractional coordinates of all 10 atoms:
Bi (0.863, 0.637, 0.000)
Cs (0.668, 0.832, 0.500)
Hg (0.500, 0.500, 0.000)
Bi (0.137, 0.363, 0.000)
Bi (0.363, 0.863, 0.000)
Cs (0.332, 0.168, 0.500)
Hg (0.000, 0.000, 0.000)
Bi (0.637, 0.137, 0.000)
Cs (0.168, 0.668, 0.500)
Cs (0.832, 0.332, 0.500)

uncorrected energy = -2.22 eV per atom
SG = P4/mbm
DOS(E_F) = 0.063 states/eV/atom
energy relative to the lowest polymorph listed for this composition = 40 meV per atom
V = 433.02 Å³ per cell
crystal system = tetragonal

Record 11
VASP calculation (PBE) on crystalline Cs2Hg2Bi at its relaxed geometry.

Cell lengths 7.471, 7.471, 6.936 Å; angles 57.41, 57.41, 90.00 degrees
Fractional coordinates of all 5 atoms:
Bi (0.000, 0.000, 0.000)
Hg (0.666, 0.666, 0.668)
Hg (0.334, 0.334, 0.332)
Cs (0.750, 0.250, 0.500)
Cs (0.250, 0.750, 0.500)

uncorrected energy = -1.50 eV per atom
SG = I4/mmm
DOS(E_F) = 0.076 states/eV/atom
energy relative to the lowest polymorph listed for this composition = 72 meV per atom
V = 250.87 Å³ per cell
crystal system = tetragonal

Record 12
VASP calculation (PBE) on crystalline CsHg6Bi at its relaxed geometry.

Cell lengths 5.517, 5.517, 9.205 Å; angles 90.00, 90.00, 90.00 degrees
Fractional coordinates of all 8 atoms:
Hg (0.500, 0.000, 0.320)
Hg (0.500, 0.500, 0.831)
Cs (0.000, 0.000, 0.000)
Hg (0.500, 0.000, 0.680)
Hg (0.500, 0.500, 0.169)
Bi (0.000, 0.000, 0.500)
Hg (0.000, 0.500, 0.680)
Hg (0.000, 0.500, 0.320)

uncorrected energy = -0.95 eV per atom
SG = P4/mmm
DOS(E_F) = 0.391 states/eV/atom
energy relative to the lowest polymorph listed for this composition = 0 meV per atom
V = 280.14 Å³ per cell
crystal system = tetragonal

Record 13
VASP calculation (PBE) on crystalline CsHgBi2 at its relaxed geometry.

Cell lengths 6.226, 8.293, 12.740 Å; angles 90.00, 90.00, 90.00 degrees
Fractional coordinates of all 16 atoms:
Bi (0.250, 0.112, 0.143)
Cs (0.250, 0.711, 0.669)
Bi (0.250, 0.612, 0.357)
Bi (0.750, 0.888, 0.857)
Bi (0.250, 0.485, 0.136)
Cs (0.250, 0.211, 0.831)
Bi (0.750, 0.015, 0.636)
Bi (0.750, 0.388, 0.643)
Hg (0.750, 0.207, 0.024)
Bi (0.250, 0.985, 0.364)
Bi (0.750, 0.515, 0.864)
Hg (0.750, 0.707, 0.476)
Hg (0.250, 0.293, 0.524)
Cs (0.750, 0.289, 0.331)
Cs (0.750, 0.789, 0.169)
Hg (0.250, 0.793, 0.976)

uncorrected energy = -2.42 eV per atom
SG = Pnma
DOS(E_F) = 0.430 states/eV/atom
V = 657.82 Å³ per cell
crystal system = orthorhombic

Record 14
VASP calculation (PBE) on crystalline Cs2Hg7Bi2 at its relaxed geometry.

Cell lengths 4.725, 13.230, 13.230 Å; angles 67.02, 134.92, 134.92 degrees
Fractional coordinates of all 11 atoms:
Hg (0.899, 0.878, 0.589)
Hg (0.000, 0.000, 0.000)
Hg (0.101, 0.411, 0.122)
Hg (0.899, 0.589, 0.878)
Bi (0.148, 0.163, 0.163)
Bi (0.852, 0.837, 0.837)
Cs (0.500, 0.250, 0.750)
Hg (0.437, 0.421, 0.421)
Hg (0.101, 0.122, 0.411)
Cs (0.500, 0.750, 0.250)
Hg (0.563, 0.579, 0.579)

uncorrected energy = -1.21 eV per atom
SG = C2/m
DOS(E_F) = 0.294 states/eV/atom
V = 404.83 Å³ per cell
crystal system = monoclinic

Record 15
VASP calculation (PBE) on crystalline CsHgBi2 at its relaxed geometry.

Cell lengths 8.636, 8.636, 8.636 Å; angles 88.25, 88.25, 88.25 degrees
Fractional coordinates of all 12 atoms:
Hg (0.500, 0.000, 0.000)
Cs (0.317, 0.317, 0.317)
Bi (0.248, 0.500, 0.752)
Bi (0.248, 0.752, 0.500)
Hg (0.000, 0.000, 0.500)
Bi (0.752, 0.500, 0.248)
Bi (0.500, 0.248, 0.752)
Cs (0.683, 0.683, 0.683)
Cs (0.000, 0.000, 0.000)
Bi (0.500, 0.752, 0.248)
Bi (0.752, 0.248, 0.500)
Hg (0.000, 0.500, 0.000)

uncorrected energy = -2.27 eV per atom
SG = R-3m
DOS(E_F) = 0.423 states/eV/atom
V = 643.13 Å³ per cell
crystal system = trigonal

Record 16
VASP calculation (PBE) on crystalline CsHg2BiI8 at its relaxed geometry.

Cell lengths 8.875, 8.875, 10.591 Å; angles 90.00, 90.00, 120.00 degrees
Fractional coordinates of all 12 atoms:
I (0.333, 0.667, 0.468)
Hg (0.333, 0.667, 0.726)
I (0.692, 0.846, 0.811)
I (0.154, 0.846, 0.811)
Cs (0.000, 0.000, 0.500)
I (0.154, 0.308, 0.811)
I (0.846, 0.692, 0.189)
Bi (0.000, 0.000, 0.000)
I (0.667, 0.333, 0.532)
I (0.846, 0.154, 0.189)
Hg (0.667, 0.333, 0.274)
I (0.308, 0.154, 0.189)

uncorrected energy = -1.95 eV per atom
SG = P-3m1
formation energy (no corrections) = -471 meV/atom
V = 722.39 Å³ per cell
crystal system = trigonal

Record 17
VASP calculation (PBE) on crystalline Cs2InHgBi at its relaxed geometry.

Cell lengths 5.369, 9.407, 9.306 Å; angles 109.15, 90.00, 90.00 degrees
Fractional coordinates of all 10 atoms:
Hg (0.250, 0.904, 0.932)
Cs (0.250, 0.136, 0.373)
Bi (0.250, 0.612, 0.353)
Hg (0.750, 0.096, 0.068)
In (0.250, 0.581, 0.677)
In (0.750, 0.419, 0.323)
Cs (0.250, 0.313, 0.936)
Cs (0.750, 0.864, 0.627)
Bi (0.750, 0.388, 0.647)
Cs (0.750, 0.687, 0.064)

uncorrected energy = -2.04 eV per atom
SG = P2_1/m
DOS(E_F) = 0.257 states/eV/atom
energy relative to the lowest polymorph listed for this composition = 0 meV per atom
V = 444.02 Å³ per cell
crystal system = monoclinic

Record 18
VASP calculation (PBE) on crystalline CsIn2HgBi at its relaxed geometry.

Cell lengths 5.277, 8.410, 9.243 Å; angles 93.25, 90.00, 90.00 degrees
Fractional coordinates of all 10 atoms:
Cs (0.250, 0.735, 0.843)
In (0.250, 0.073, 0.522)
Bi (0.750, 0.779, 0.169)
In (0.750, 0.927, 0.478)
In (0.250, 0.715, 0.330)
In (0.750, 0.285, 0.670)
Bi (0.250, 0.221, 0.831)
Hg (0.750, 0.601, 0.553)
Hg (0.250, 0.399, 0.447)
Cs (0.750, 0.265, 0.157)

uncorrected energy = -2.25 eV per atom
SG = P2_1/m
DOS(E_F) = 0.348 states/eV/atom
V = 409.57 Å³ per cell
crystal system = monoclinic

Record 19
VASP calculation (PBE) on crystalline Cs2InHg6Bi at its relaxed geometry.

Cell lengths 6.538, 10.540, 8.455 Å; angles 49.15, 70.56, 93.63 degrees
Fractional coordinates of all 10 atoms:
Hg (0.219, 0.232, 0.031)
Hg (0.765, 0.264, 0.946)
Bi (0.500, 0.500, 0.000)
In (0.000, 0.000, 0.000)
Hg (0.291, 0.402, 0.502)
Hg (0.781, 0.768, 0.969)
Cs (0.767, 0.224, 0.470)
Hg (0.709, 0.598, 0.498)
Cs (0.233, 0.776, 0.530)
Hg (0.235, 0.736, 0.054)

uncorrected energy = -1.17 eV per atom
SG = P-1
DOS(E_F) = 0.320 states/eV/atom
V = 381.96 Å³ per cell
crystal system = triclinic

Record 20
VASP calculation (PBE) on crystalline Cs3In2Hg2Bi4 at its relaxed geometry.

Cell lengths 5.128, 5.128, 21.123 Å; angles 90.00, 90.00, 120.00 degrees
Fractional coordinates of all 11 atoms:
In (0.333, 0.667, 0.552)
Hg (0.667, 0.333, 0.857)
Cs (0.000, 0.000, 0.000)
Cs (0.000, 0.000, 0.280)
In (0.667, 0.333, 0.448)
Cs (0.000, 0.000, 0.720)
Bi (0.667, 0.333, 0.593)
Bi (0.667, 0.333, 0.140)
Bi (0.333, 0.667, 0.407)
Hg (0.333, 0.667, 0.143)
Bi (0.333, 0.667, 0.860)

uncorrected energy = -2.47 eV per atom
SG = P-3m1
DOS(E_F) = 0.069 states/eV/atom
V = 481.11 Å³ per cell
crystal system = trigonal

Record 21
VASP calculation (PBE) on crystalline CsInHg2Bi at its relaxed geometry.

Cell lengths 5.121, 5.391, 7.439 Å; angles 111.24, 110.13, 90.00 degrees
Fractional coordinates of all 5 atoms:
Hg (0.691, 0.191, 0.382)
Cs (0.448, 0.448, 0.895)
In (0.184, 0.684, 0.367)
Bi (0.825, 0.825, 0.650)
Hg (0.065, 0.065, 0.130)

uncorrected energy = -1.82 eV per atom
SG = Imm2
DOS(E_F) = 0.270 states/eV/atom
energy relative to the lowest polymorph listed for this composition = 0 meV per atom
V = 177.89 Å³ per cell
crystal system = orthorhombic

Record 22
VASP calculation (PBE) on crystalline CsIn2HgBi2 at its relaxed geometry.

Cell lengths 5.401, 5.401, 8.768 Å; angles 90.00, 90.00, 120.00 degrees
Fractional coordinates of all 6 atoms:
In (0.667, 0.333, 0.640)
Cs (0.000, 0.000, 0.000)
Hg (0.000, 0.000, 0.500)
Bi (0.333, 0.667, 0.713)
In (0.333, 0.667, 0.360)
Bi (0.667, 0.333, 0.287)

uncorrected energy = -2.58 eV per atom
SG = P-3m1
DOS(E_F) = 0.270 states/eV/atom
V = 221.51 Å³ per cell
crystal system = trigonal